No. 1
A plane-wave DFT calculation with PBE was carried out for a geometry-optimized YPCl structure. Values from VASP.

Raw formation energy: -0.956 eV per atom
DOS at the Fermi energy: 3.105 states/eV/cell
Energy above the most stable polymorph in this dataset: 488.0 meV per atom

```
&SYSTEM
  ibrav = 0, nat = 3, ntyp = 3
/
ATOMIC_SPECIES
Cl 35.45 Cl.upf
P 30.97 P.upf
Y 88.91 Y.upf
ATOMIC_POSITIONS crystal
Cl 0.0000 0.0000 0.8334
P 0.3333 0.6667 0.3334
Y 0.6667 0.3333 0.8332
CELL_PARAMETERS angstrom
4.6459 0.0000 0.0000
-2.3229 4.0234 0.0000
0.0000 0.0000 3.4521
```


No. 2
A plane-wave DFT calculation with PBE was carried out for a geometry-optimized Tb5Pm2Nd2 structure. Values from VASP.

DOS at the Fermi energy: 15.481 states/eV/cell
Energy above the most stable polymorph in this dataset: 0.0 meV per atom
DFT formation energy: 0.14 eV per atom

```
&SYSTEM
  ibrav = 0, nat = 9, ntyp = 3
/
ATOMIC_SPECIES
Tb 158.93 Tb.upf
Pm 145.00 Pm.upf
Nd 144.24 Nd.upf
ATOMIC_POSITIONS crystal
Tb 0.6717 0.8033 0.3435
Tb 0.3283 0.1967 0.6565
Tb 0.8241 0.5166 0.6481
Tb 0.1759 0.4834 0.3519
Tb 0.0000 0.0000 0.0000
Pm 0.8366 0.8989 0.6731
Pm 0.1634 0.1011 0.3269
Nd 0.4944 0.6770 0.9889
Nd 0.5056 0.3230 0.0111
CELL_PARAMETERS angstrom
-1.2315 -1.0398 -3.1212
8.2045 -5.2796 -1.4782
-10.2485 -1.8634 6.6411
```